Here is a relaxed structure of Ti3Al3Au2 from the Alexandria database. Energies are from PBE.

```
data_Ti3Al3Au2
_cell_length_a 4.134
_cell_length_b 4.084
_cell_length_c 7.707
_cell_angle_alpha 90.00
_cell_angle_beta 90.00
_cell_angle_gamma 90.00
_symmetry_space_group_name_H-M 'P 1'
_symmetry_Int_Tables_number 1
_symmetry_space_group_name_Hall 'P 1'
loop_
_atom_site_label
_atom_site_fract_x
_atom_site_fract_y
_atom_site_fract_z
Al1 0.000 0.500 0.000
Al2 0.000 0.500 0.500
Al3 0.500 0.000 0.500
Au1 0.000 0.000 0.750
Au2 0.000 0.000 0.250
Ti1 0.500 0.500 0.253
Ti2 0.500 0.500 0.747
Ti3 0.500 0.000 0.000
```

Calculated values
VASP energy	-45.12	eV/cell
crystal system	orthorhombic
E above lowest polymorph	0.000	eV per atom
DOS at the Fermi energy	6.01	states/eV per cell
total magnetic moment	1.26	μB/f.u.
ΔE_f	-0.456	eV per atom